Entry 1:
Li2P2C: relaxed, PBE.

Lattice parameters (Å, degrees): 7.2866 7.2866 2.4331 90.00 90.00 90.00
Closest atoms and distances in Å follow each position.
Positions (direct):
C  0.0000  0.0000  0.0000  2 C 2.43
C  0.5000  0.5000  0.0000  2 C 2.43
Li  0.8838  0.6162  0.0000  6 P 2.37-2.57, 3 Li 2.39-2.43
Li  0.1162  0.3838  0.0000  6 P 2.37-2.57, 3 Li 2.39-2.43
Li  0.3838  0.8838  0.0000  6 P 2.37-2.57, 3 Li 2.39-2.43
Li  0.6162  0.1162  0.0000  6 P 2.37-2.57, 3 Li 2.39-2.43
P  0.3140  0.1860  0.5000  6 Li 2.37-2.57, 2 P 2.43
P  0.1860  0.6860  0.5000  6 Li 2.37-2.57, 2 P 2.43
P  0.6860  0.8140  0.5000  6 Li 2.37-2.57, 2 P 2.43
P  0.8140  0.3140  0.5000  6 Li 2.37-2.57, 2 P 2.43

Symmetry = P4/mbm
Offset from the most stable computed form = 86 kJ/mol of formula units
ΔH_f (0 K) = 4.8 eV/f.u.
Calculated total energy = -3.817 eV per atom
Total magnetization = 0.00 μB per formula unit
Density = 2.3 Mg/m³



Entry 2:
Li2PC: relaxed, PBE.

Lattice parameters (Å, degrees): 4.2699 4.3785 6.3709 98.00 92.55 115.60
Closest atoms and distances in Å follow each position.
Positions (direct):
Li  0.4098  0.7360  0.6771  3 P 2.62-2.63, 5 Li 2.74-2.89
Li  0.9787  0.0996  0.4441  2 C 2.22-2.36
Li  0.3799  0.8808  0.1297  3 C 2.23-2.42
Li  0.7442  0.4252  0.8837  2 C 2.24-2.37, 1 P 2.49
C  0.8784  0.4074  0.2249  1 C 1.37
C  0.1079  0.3151  0.1233  1 C 1.37
P  0.5408  0.4819  0.3135  1 C 1.71
P  0.0682  0.0692  0.8450  1 C 1.90

Symmetry = P1
Offset from the most stable computed form = 41 kJ/mol of formula units
ΔH_f (0 K) = -0.5 eV/f.u.
Calculated total energy = -4.734 eV per atom
Total magnetization = 0.00 μB per formula unit
Density = 1.8 Mg/m³



Q: Among the records above, which one has the highest ΔH_f (0 K)?
A: Li2P2C



Q: ΔH_f (0 K) of number 2 (Li2PC)?
A: -0.5 eV/f.u.